1.
A relaxed structure of BaAc5Mg6. Source: Alexandria, functional PBE.

a = 5.858 Å, b = 8.319 Å, c = 9.280 Å
α = 90.00°, β = 71.52°, γ = 90.00°
Fractional coordinates of all 12 atoms:
Ac 0.000 0.500 0.000
Ac 0.668 0.000 0.663
Ac 0.665 0.500 0.670
Ac 0.335 0.500 0.330
Ac 0.332 0.000 0.337
Mg 0.500 0.256 0.000
Mg 0.830 0.744 0.339
Mg 0.830 0.256 0.339
Mg 0.500 0.744 0.000
Mg 0.170 0.256 0.661
Mg 0.170 0.744 0.661
Ba 0.000 0.000 0.000

Results
energy of formation from the pure elements	-0.07	eV per atom
space group	P2/m


2.
A relaxed structure of Cu5Pb3F12. Source: Alexandria, functional PBE.

a = 11.662 Å, b = 11.662 Å, c = 11.662 Å
α = 109.47°, β = 109.47°, γ = 109.47°
Site moments in Bohr magnetons follow the coordinates.
Fractional coordinates of all 80 atoms:
F 0.534 0.326 0.911  0.01
F 0.877 0.585 0.911  0.01
F 0.877 0.291 0.466  0.01
F 0.123 0.709 0.534  0.01
F 0.415 0.291 0.326  0.01
F 0.534 0.209 0.123  0.01
F 0.123 0.415 0.089  0.01
F 0.085 0.174 0.209  0.01
F 0.411 0.377 0.585  0.01
F 0.826 0.915 0.291  0.01
F 0.589 0.623 0.415  0.01
F 0.377 0.411 0.085  0.01
F 0.585 0.877 0.411  0.01
F 0.791 0.326 0.915  0.01
F 0.623 0.589 0.915  0.01
F 0.326 0.791 0.415  0.01
F 0.791 0.466 0.377  0.01
F 0.377 0.966 0.791  0.01
F 0.585 0.709 0.674  0.01
F 0.674 0.466 0.589  0.01
F 0.709 0.585 0.174  0.01
F 0.291 0.877 0.966  0.01
F 0.034 0.623 0.709  0.01
F 0.174 0.085 0.709  0.01
F 0.415 0.123 0.589  0.01
F 0.089 0.174 0.466  0.01
F 0.291 0.415 0.826  0.01
F 0.915 0.089 0.623  0.01
F 0.966 0.377 0.291  0.01
F 0.209 0.534 0.623  0.01
F 0.623 0.034 0.209  0.01
F 0.966 0.589 0.174  0.01
F 0.326 0.534 0.411  0.01
F 0.915 0.826 0.791  0.01
F 0.089 0.915 0.123  0.01
F 0.466 0.791 0.877  0.01
F 0.911 0.085 0.877  0.01
F 0.674 0.209 0.585  0.01
F 0.209 0.674 0.085  0.01
F 0.085 0.911 0.377  0.01
F 0.411 0.034 0.326  0.01
F 0.826 0.911 0.034  0.01
F 0.174 0.089 0.966  0.01
F 0.466 0.674 0.089  0.01
F 0.709 0.123 0.034  0.01
F 0.034 0.411 0.826  0.01
F 0.589 0.966 0.674  0.01
F 0.911 0.826 0.534  0.01
Pb 0.125 0.250 0.875  0.00
Pb 0.375 0.625 0.250  0.00
Pb 0.625 0.375 0.750  0.00
Pb 0.250 0.625 0.875  0.00
Pb 0.625 0.250 0.375  0.00
Pb 0.375 0.750 0.625  0.00
Pb 0.875 0.125 0.250  0.00
Pb 0.750 0.375 0.125  0.00
Pb 0.875 0.750 0.125  0.00
Pb 0.125 0.875 0.750  0.00
Pb 0.250 0.125 0.375  0.00
Pb 0.750 0.875 0.625  0.00
Cu 0.000 0.000 0.000  0.29
Cu 0.000 0.000 0.500  0.29
Cu 0.875 0.250 0.625  0.16
Cu 0.125 0.375 0.250  0.16
Cu 0.500 0.000 0.500  0.29
Cu 0.500 0.500 0.500  0.29
Cu 0.250 0.875 0.125  0.16
Cu 0.500 0.000 0.000  0.29
Cu 0.750 0.625 0.375  0.16
Cu 0.250 0.375 0.625  0.16
Cu 0.000 0.500 0.000  0.29
Cu 0.375 0.125 0.750  0.16
Cu 0.625 0.875 0.250  0.16
Cu 0.750 0.125 0.875  0.16
Cu 0.000 0.500 0.500  0.29
Cu 0.625 0.750 0.875  0.16
Cu 0.875 0.625 0.750  0.16
Cu 0.375 0.250 0.125  0.16
Cu 0.125 0.750 0.375  0.16
Cu 0.500 0.500 0.000  0.29

Results
space group	Ia-3d
formation energy without anion corrections	-1.649	eV/atom


3.
A relaxed structure of Sr3CuSb2O9. Source: Alexandria, functional PBE.

a = 5.705 Å, b = 5.705 Å, c = 7.040 Å
α = 90.00°, β = 90.00°, γ = 120.00°
Site moments in Bohr magnetons follow the coordinates.
Fractional coordinates of all 15 atoms:
O 0.000 0.500 0.000  0.01
O 0.664 0.832 0.328  0.06
O 0.500 0.000 0.000  0.01
O 0.832 0.168 0.672  0.06
O 0.168 0.336 0.328  0.06
O 0.832 0.664 0.672  0.06
O 0.336 0.168 0.672  0.06
O 0.168 0.832 0.328  0.06
O 0.500 0.500 0.000  0.01
Sb 0.333 0.667 0.173  0.01
Sb 0.667 0.333 0.827  0.01
Cu 0.000 0.000 0.500  0.66
Sr 0.667 0.333 0.352  0.00
Sr 0.000 0.000 0.000  0.00
Sr 0.333 0.667 0.648  0.00

Results
space group	P-3m1
formation energy without anion corrections	-1.935	eV/atom


4.
A relaxed structure of Pd2Pt2Se. Source: Alexandria, functional PBE.

a = 3.623 Å, b = 3.623 Å, c = 7.209 Å
α = 75.45°, β = 75.45°, γ = 90.00°
Fractional coordinates of all 5 atoms:
Pd 0.750 0.250 0.500
Pd 0.250 0.750 0.500
Pt 0.598 0.598 0.804
Pt 0.402 0.402 0.196
Se 0.000 0.000 0.000

Results
energy above the lowest structure with this stoichiometry	0.194	eV/atom
space group	I4/mmm
formation energy without anion corrections	0.331	eV/atom


5.
A relaxed structure of Pm2Pu2Pd15. Source: Alexandria, functional PBE.

a = 7.122 Å, b = 7.122 Å, c = 7.122 Å
α = 81.17°, β = 81.17°, γ = 81.17°
Site moments in Bohr magnetons follow the coordinates.
Fractional coordinates of all 19 atoms:
Pd 0.653 0.653 0.162  -0.04
Pd 0.000 0.314 0.686  -0.02
Pd 0.838 0.347 0.347  -0.04
Pd 0.314 0.686 0.000  -0.02
Pd 0.314 0.000 0.686  -0.02
Pd 0.000 0.686 0.314  -0.02
Pd 0.686 0.314 0.000  -0.02
Pd 0.347 0.347 0.838  -0.04
Pd 0.162 0.653 0.653  -0.04
Pd 0.686 0.000 0.314  -0.02
Pd 0.000 0.000 0.500  -0.08
Pd 0.000 0.500 0.000  -0.08
Pd 0.653 0.162 0.653  -0.04
Pd 0.347 0.838 0.347  -0.04
Pd 0.500 0.000 0.000  -0.08
Pu 0.099 0.099 0.099  5.09
Pu 0.901 0.901 0.901  5.09
Pm 0.358 0.358 0.358  0.06
Pm 0.642 0.642 0.642  0.06

Results
energy of formation from the pure elements	-0.47	eV per atom
space group	R-3m


6.
A relaxed structure of Na2Al2H7. Source: Alexandria, functional PBE.

a = 4.643 Å, b = 5.342 Å, c = 5.342 Å
α = 94.86°, β = 91.70°, γ = 91.70°
Fractional coordinates of all 11 atoms:
H 0.266 0.422 0.086
H 0.728 0.420 0.420
H 0.266 0.086 0.422
H 0.734 0.914 0.578
H 0.734 0.578 0.914
H 0.272 0.580 0.580
H 0.500 0.000 0.000
Al 0.524 0.751 0.751
Al 0.476 0.249 0.249
Na 0.000 0.258 0.742
Na 0.000 0.742 0.258

Results
space group	C2/m


7.
A relaxed structure of ThGeRh2. Source: Alexandria, functional PBE.

a = 5.819 Å, b = 6.963 Å, c = 7.378 Å
α = 90.00°, β = 90.00°, γ = 90.00°
Fractional coordinates of all 16 atoms:
Ge 0.846 0.250 0.887
Ge 0.346 0.750 0.613
Ge 0.154 0.750 0.113
Ge 0.654 0.250 0.387
Rh 0.588 0.454 0.685
Rh 0.088 0.954 0.815
Rh 0.588 0.046 0.685
Rh 0.412 0.546 0.315
Rh 0.912 0.046 0.185
Rh 0.912 0.454 0.185
Rh 0.412 0.954 0.315
Rh 0.088 0.546 0.815
Th 0.348 0.250 0.027
Th 0.152 0.250 0.527
Th 0.848 0.750 0.473
Th 0.652 0.750 0.973

Results
energy of formation from the pure elements	-0.92	eV per atom
space group	Pnma


8.
A relaxed structure of Ho2Er6Zn. Source: Alexandria, functional PBE.

a = 5.273 Å, b = 9.860 Å, c = 10.010 Å
α = 90.00°, β = 90.00°, γ = 90.00°
Fractional coordinates of all 18 atoms:
Er 0.000 0.967 0.816
Er 0.500 0.184 0.948
Er 0.500 0.873 0.383
Er 0.500 0.533 0.316
Er 0.000 0.684 0.552
Er 0.000 0.373 0.116
Er 0.500 0.127 0.617
Er 0.500 0.467 0.684
Er 0.500 0.816 0.052
Er 0.000 0.316 0.448
Er 0.000 0.033 0.184
Er 0.000 0.627 0.884
Ho 0.000 0.293 0.774
Ho 0.500 0.793 0.726
Ho 0.500 0.207 0.274
Ho 0.000 0.707 0.226
Zn 0.000 0.000 0.500
Zn 0.500 0.500 0.000

Results
energy of formation from the pure elements	0.03	eV per atom
space group	Pnnm


Table of total DFT energy (no corrections) (eV/atom), in record order: -2.737 -4.353 -6.069 -4.860 -6.574 -3.076 -7.608 -4.172